PmVP2O8 | PBE+U | relaxed

CIF file:
```
data_PmVP2O8
_symmetry_space_group_name_H-M 'P 1'
_symmetry_Int_Tables_number 1
_symmetry_space_group_name_Hall 'P 1'
_cell_length_a 5.740
_cell_length_b 5.740
_cell_length_c 5.740
_cell_angle_alpha 105.52
_cell_angle_beta 105.52
_cell_angle_gamma 117.71
loop_
_atom_site_label
_atom_site_type_symbol
_atom_site_fract_x
_atom_site_fract_y
_atom_site_fract_z
Pm1 Pm 0.000 0.000 0.000
V1 V 0.750 0.250 0.500
P1 P 0.250 0.750 0.500
P2 P 0.500 0.500 0.000
O1 O 0.078 0.410 0.332
O2 O 0.078 0.747 0.668
O3 O 0.163 0.343 0.820
O4 O 0.253 0.922 0.332
O5 O 0.523 0.343 0.180
O6 O 0.590 0.922 0.668
O7 O 0.657 0.477 0.820
O8 O 0.657 0.837 0.180
```

- Total energy: -92.41 eV/cell
- Magnetic moment: 2.0 μB/cell